The following is a PBE-GGA calculation of a relaxed SrH3Pd crystal, from Alexandria.

Calculated values
Crystal system: monoclinic
Electronic total energy in eV per formula unit: -19.13
M_tot in μB per atom: 0.00
Volume in Å³ per atom: 14.04

a b c (Å): 9.120 6.547 6.547
angles (deg): 101.49 121.78 58.22
Fractional coordinates of all 20 atoms:
H: 0.880 0.695 0.073
H: 0.101 0.859 0.437
H: 0.380 0.427 0.805
H: 0.559 0.314 0.369
H: 0.601 0.063 0.641
H: 0.899 0.141 0.563
H: 0.441 0.686 0.631
H: 0.620 0.573 0.195
H: 0.399 0.937 0.359
H: 0.941 0.869 0.814
H: 0.120 0.305 0.927
H: 0.059 0.131 0.186
Pd: 0.750 0.637 0.137
Pd: 0.250 0.905 0.405
Pd: 0.750 0.095 0.595
Pd: 0.250 0.363 0.863
Sr: 0.742 0.137 0.098
Sr: 0.758 0.598 0.637
Sr: 0.242 0.402 0.363
Sr: 0.258 0.863 0.902